DFT (GGA-PBE) results for a relaxed structure of AlSnAsRh.

```
data_AlSnAsRh
_chemical_formula_sum 'Al2 Sn2 As2 Rh2'
_space_group_name_H-M_alt 'I m m 2'
_space_group_IT_number 44
_cell_length_a 3.0087
_cell_length_b 4.1570
_cell_length_c 12.9408
_cell_angle_alpha 90.00
_cell_angle_beta 90.00
_cell_angle_gamma 90.00
loop_
_space_group_symop_operation_xyz
'x,y,z'
'-x,-y,z'
'-x,y,z'
'x,-y,z'
'x+1/2,y+1/2,z+1/2'
'-x+1/2,-y+1/2,z+1/2'
'-x+1/2,y+1/2,z+1/2'
'x+1/2,-y+1/2,z+1/2'
loop_
_atom_site_label
_atom_site_fract_x
_atom_site_fract_y
_atom_site_fract_z
Al1 0.0000 0.0000 0.0000
Sn1 0.0000 0.5000 0.1911
As1 0.0000 0.0000 0.3231
Rh1 0.0000 0.0000 0.5170
```

Values from the calculation:
- mass density (g cm⁻³) = 6.64
- formation enthalpy at 0 K (meV per atom) = -303
- D(E_F) (states/eV/cell) = 4.7